Record 1
The following is a PBE calculation of FeHgBiOs2 after structural relaxation, from the Alexandria database.

Density, kg/m3: 13833
Calculated volume, A^3/atom: 20.3
Space-group type: No. 123
Total energy, eV per atom: -5.49
E_form, eV/atom: 1.5260

The structure in CIF format:
```
data_FeHgBiOs2
_cell_length_a 4.550
_cell_length_b 4.904
_cell_length_c 4.550
_cell_angle_alpha 90.00
_cell_angle_beta 90.00
_cell_angle_gamma 90.00
_symmetry_space_group_name_H-M 'P 1'
_symmetry_Int_Tables_number 1
loop_
_symmetry_equiv_pos_as_xyz
'x,y,z'
loop_
_atom_site_label
_atom_site_fract_x
_atom_site_fract_y
_atom_site_fract_z
Os1 0.000 0.000 0.500
Os2 0.500 0.000 0.000
Hg1 0.500 0.500 0.500
Fe1 0.000 0.000 0.000
Bi1 0.000 0.500 0.000
```



Record 2
The following is a PBE calculation of CsRb2TlCl4 after structural relaxation, from the Alexandria database.

Density, kg/m3: 3516
Formation energy from raw total energies, eV/atom: -1.712
Calculated volume, A^3/atom: 38.4
Space-group type: No. 10
Total energy, eV per atom: -3.28

The structure in CIF format:
```
data_CsRb2TlCl4
_cell_length_a 4.774
_cell_length_b 8.261
_cell_length_c 8.254
_cell_angle_alpha 70.58
_cell_angle_beta 90.00
_cell_angle_gamma 90.00
_symmetry_space_group_name_H-M 'P 1'
_symmetry_Int_Tables_number 1
loop_
_symmetry_equiv_pos_as_xyz
'x,y,z'
loop_
_atom_site_label
_atom_site_fract_x
_atom_site_fract_y
_atom_site_fract_z
Rb1 0.500 0.000 0.500
Cl1 0.500 0.758 0.237
Cl2 0.000 0.248 0.242
Cs1 0.000 0.500 0.500
Tl1 0.500 0.500 0.000
Cl3 0.000 0.752 0.758
Cl4 0.500 0.242 0.763
Rb2 0.000 0.000 0.000
```



Record 3
The following is a PBE calculation of ErZr2V after structural relaxation, from the Alexandria database.

Density, kg/m3: 7466
Calculated volume, A^3/atom: 22.3
Space-group type: No. 123
Total energy, eV per atom: -7.52
E_form, eV/atom: 0.1737

The structure in CIF format:
```
data_ErZr2V
_cell_length_a 3.409
_cell_length_b 3.409
_cell_length_c 7.669
_cell_angle_alpha 90.00
_cell_angle_beta 90.00
_cell_angle_gamma 90.00
_symmetry_space_group_name_H-M 'P 1'
_symmetry_Int_Tables_number 1
loop_
_symmetry_equiv_pos_as_xyz
'x,y,z'
loop_
_atom_site_label
_atom_site_fract_x
_atom_site_fract_y
_atom_site_fract_z
Zr1 0.000 0.000 0.800
V1 0.500 0.500 0.000
Zr2 0.000 0.000 0.200
Er1 0.500 0.500 0.500
```



Record 4
The following is a PBE calculation of Pu2GeAu6 after structural relaxation, from the Alexandria database.

Density, kg/m3: 15030
Calculated volume, A^3/atom: 21.4
Space-group type: No. 12
Total energy, eV per atom: -6.20
E_form, eV/atom: -0.3166

The structure in CIF format:
```
data_Pu2GeAu6
_cell_length_a 6.343
_cell_length_b 6.299
_cell_length_c 5.577
_cell_angle_alpha 89.75
_cell_angle_beta 90.00
_cell_angle_gamma 120.23
_symmetry_space_group_name_H-M 'P 1'
_symmetry_Int_Tables_number 1
loop_
_symmetry_equiv_pos_as_xyz
'x,y,z'
loop_
_atom_site_label
_atom_site_fract_x
_atom_site_fract_y
_atom_site_fract_z
Pu1 0.332 0.664 0.830
Pu2 0.668 0.336 0.170
Ge1 0.000 0.000 0.000
Au1 0.366 0.182 0.688
Au2 0.819 0.638 0.686
Au3 0.816 0.182 0.688
Au4 0.634 0.818 0.312
Au5 0.181 0.362 0.314
Au6 0.184 0.818 0.312
```